Entry 1:
Here is a PBEsol-optimized structure of CaSiP2 from Alexandria via LeMat-Bulk. Energies are from meta-GGA SCAN.

Lattice parameters (Å, degrees): 6.046 6.046 6.046 113.83 113.83 101.07
Element x y z (fractional)
Ca 0.000 0.000 0.000
Ca 0.750 0.250 0.500
Si 0.250 0.750 0.500
Si 0.500 0.500 0.000
P 0.200 0.125 0.575
P 0.375 0.800 0.925
P 0.550 0.625 0.425
P 0.875 0.450 0.075

Results
Space-group type   No. 122
Energy relative to the elements, uncorrected   -75.01 kJ per mole of atoms

Entry 2:
Here is a PBEsol-optimized structure of SrRe2Tc from Alexandria via LeMat-Bulk. Energies are from meta-GGA SCAN.

Lattice parameters (Å, degrees): 4.545 4.545 4.545 60.00 60.00 60.00
Element x y z (fractional)
Sr 0.000 0.000 0.000
Re 0.500 0.500 0.500
Re 0.750 0.750 0.750
Tc 0.250 0.250 0.250

Results
Space-group type   No. 216
Energy relative to the lowest polymorph listed for this composition   96 kJ/mol of formula units
E_form   0.980 eV per atom